An optimized crystal structure of SrPa2VO8, computed with PBE with a Hubbard U.

The value obtained for the total energy is -104.3 eV per cell.

extended XYZ file:
```
12
Lattice="-1.892 -0.482 -4.621 2.170 -4.482 -0.612 -5.774 -3.115 2.644" Properties=species:S:1:pos:R:3 pbc="T T T"
Sr -2.887 -1.557 1.322
Pa -4.242 -4.835 -0.619
Pa -1.253 -3.244 -1.970
V 0.000 0.000 0.000
O 0.163 -4.326 -0.862
O -5.577 -6.589 -1.017
O -2.261 -1.835 -3.361
O -5.659 -3.753 -1.727
O 0.082 -1.490 -1.572
O -3.235 -6.244 0.772
O -2.697 -4.893 -2.187
O -2.798 -3.186 -0.401
```